Record 1
Entry from Alexandria: a geometry-optimized Nd6Sm12In structure (GGA-PBE).

Calculated values
Formation enthalpy at 0 K, eV/f.u.: 1.1
Space-group type: R-3, No. 148

a = 8.653 Å, b = 8.653 Å, c = 8.653 Å
α = 88.93°, β = 88.93°, γ = 88.93°
Positions (direct):
1 Nd 0.740 0.906 0.299
2 Nd 0.701 0.260 0.094
3 Nd 0.094 0.701 0.260
4 Nd 0.260 0.094 0.701
5 Nd 0.299 0.740 0.906
6 Nd 0.906 0.299 0.740
7 Sm 0.780 0.537 0.434
8 Sm 0.434 0.780 0.537
9 Sm 0.537 0.434 0.780
10 Sm 0.220 0.463 0.566
11 Sm 0.566 0.220 0.463
12 Sm 0.463 0.566 0.220
13 Sm 0.015 0.184 0.359
14 Sm 0.816 0.641 0.985
15 Sm 0.641 0.985 0.816
16 Sm 0.985 0.816 0.641
17 Sm 0.184 0.359 0.015
18 Sm 0.359 0.015 0.184
19 In 0.000 0.000 0.000



Record 2
Entry from Alexandria: a geometry-optimized Nd4SmIn3 structure (GGA-PBE).

Calculated values
Formation enthalpy at 0 K, eV/f.u.: -2.6
Space-group type: R-3m, No. 166

a = 5.524 Å, b = 5.524 Å, c = 9.776 Å
α = 73.59°, β = 73.59°, γ = 60.00°
Positions (direct):
1 Nd 0.869 0.869 0.393
2 Nd 0.384 0.384 0.847
3 Nd 0.131 0.131 0.607
4 Nd 0.616 0.616 0.153
5 Sm 0.000 0.000 0.000
6 In 0.260 0.260 0.220
7 In 0.740 0.740 0.780
8 In 0.500 0.500 0.500



Total DFT energy (no corrections) in eV per atom, matching the order above: -4.570 -4.326